DFT (PBE-GGA) results for a relaxed TcTeSe2 crystal.

## Properties
Uncorrected formation energy, kJ/mol of formula units: -56.3

a = 11.5045 Å, b = 5.9567 Å, c = 7.2246 Å
α = 90.00°, β = 128.38°, γ = 90.00°
Closest atoms and distances in Å follow each position.
Element x y z (fractional)
1 Tc 0.2500 0.2500 0.0000  4 Se 2.51-2.53, 2 Te 2.70
2 Tc 0.2500 0.7500 0.0000  4 Se 2.51-2.53, 2 Te 2.70
3 Tc 0.7500 0.2500 0.0000  4 Se 2.51-2.53, 2 Te 2.70
4 Tc 0.7500 0.7500 0.0000  4 Se 2.51-2.53, 2 Te 2.70
5 Te 0.0038 0.0000 0.7071  2 Tc 2.70, 1 Te 2.94
6 Te 0.4962 0.5000 0.2929  2 Tc 2.70, 1 Te 2.94
7 Te 0.5038 0.5000 0.7071  2 Tc 2.70, 1 Te 2.94
8 Te 0.9962 0.0000 0.2929  2 Tc 2.70, 1 Te 2.94
9 Se 0.1409 0.5000 0.1396  2 Tc 2.53, 1 Se 2.54
10 Se 0.1513 0.5000 0.6508  2 Tc 2.51, 1 Se 2.73
11 Se 0.3487 0.0000 0.3492  2 Tc 2.51, 1 Se 2.73
12 Se 0.3591 0.0000 0.8604  2 Tc 2.53, 1 Se 2.54
13 Se 0.6409 0.0000 0.1396  2 Tc 2.53, 1 Se 2.54
14 Se 0.6513 0.0000 0.6508  2 Tc 2.51, 1 Se 2.73
15 Se 0.8487 0.5000 0.3492  2 Tc 2.51, 1 Se 2.73
16 Se 0.8591 0.5000 0.8604  2 Tc 2.53, 1 Se 2.54

---

DFT (PBE-GGA) results for a relaxed SrCuIr crystal.

## Properties
Formation energy from the elements, eV/atom: 0.11
Excess energy over the best structure of this formula in the dataset, meV/atom: 276

a = 3.4482 Å, b = 3.4482 Å, c = 10.3985 Å
α = 90.00°, β = 90.00°, γ = 90.00°
Closest atoms and distances in Å follow each position.
Element x y z (fractional)
1 Sr 0.0000 0.0000 0.0000  1 Cu 2.89, 1 Ir 3.02
2 Sr 0.5000 0.5000 0.5000  1 Cu 2.89, 1 Ir 3.02
3 Cu 0.0000 0.0000 0.7224  4 Ir 2.54
4 Cu 0.5000 0.5000 0.2224  4 Ir 2.54
5 Ir 0.0000 0.0000 0.2903  4 Cu 2.54
6 Ir 0.5000 0.5000 0.7903  4 Cu 2.54

---

DFT (PBE-GGA) results for a relaxed KGa crystal.

## Properties
Formation energy from the elements, eV/atom: 0.41
Excess energy over the best structure of this formula in the dataset, meV/atom: 518

a = 6.9235 Å, b = 6.9235 Å, c = 6.9235 Å
α = 90.00°, β = 90.00°, γ = 90.00°
Closest atoms and distances in Å follow each position.
Element x y z (fractional)
1 K 0.0000 0.0000 0.0000  6 Ga 3.46
2 K 0.0000 0.5000 0.5000  6 Ga 3.46
3 K 0.5000 0.0000 0.5000  6 Ga 3.46
4 K 0.5000 0.5000 0.0000  6 Ga 3.46
5 Ga 0.0000 0.0000 0.5000  6 K 3.46
6 Ga 0.0000 0.5000 0.0000  6 K 3.46
7 Ga 0.5000 0.0000 0.0000  6 K 3.46
8 Ga 0.5000 0.5000 0.5000  6 K 3.46

---

Number 1: N(E_F) 0.90 states/eV per atom. Number 2: N(E_F) 0.43 states/eV per atom. Number 3: N(E_F) 0.53 states/eV per atom.